AlPBr2: optimized geometry, PBE.

Lattice parameters (Å, degrees): 4.936 4.936 4.936 60.00 60.00 60.00
Element x y z (fractional)
Al1 0.500 0.500 0.500
P1 0.750 0.750 0.750
Br1 0.000 0.000 0.000
Br2 0.250 0.250 0.250

Summary:
E = -10.2 eV for the cell shown
calculated volume = 21.26 A^3/atom
total moment = 0.00 μB per formula unit
energy above the lowest structure with this stoichiometry = 1.1769 eV/atom
calculated density = 4.25 g cm⁻³
symmetry = F-43m
E_form (uncorrected) = 585 meV/atom

=====

AlP2Br: optimized geometry, PBE.

Lattice parameters (Å, degrees): 5.421 5.421 5.347 90.35 90.35 35.09
Element x y z (fractional)
Al1 0.750 0.750 0.750
P1 0.440 0.440 0.663
P2 0.060 0.060 0.837
Br1 0.250 0.250 0.250

Summary:
E = -15.8 eV for the cell shown
calculated volume = 22.59 A^3/atom
total moment = 0.00 μB per formula unit
energy above the lowest structure with this stoichiometry = 0.2630 eV/atom
calculated density = 3.10 g cm⁻³
symmetry = C2/m
E_form (uncorrected) = 116 meV/atom

=====

AlPBr2: optimized geometry, PBE.

Lattice parameters (Å, degrees): 8.445 8.445 8.445 155.66 155.37 34.90
Element x y z (fractional)
Br1 0.396 0.396 0.000
P1 0.750 0.250 0.500
Br2 0.104 0.104 0.000
Al1 0.250 0.750 0.500

Summary:
E = -12.6 eV for the cell shown
calculated volume = 25.83 A^3/atom
total moment = 0.00 μB per formula unit
energy above the lowest structure with this stoichiometry = 0.5699 eV/atom
calculated density = 3.50 g cm⁻³
symmetry = Immm
E_form (uncorrected) = -22 meV/atom

=====

AlPBr2: optimized geometry, PBE.

Lattice parameters (Å, degrees): 3.550 3.550 8.742 90.00 90.00 122.72
Element x y z (fractional)
Al1 0.500 0.500 0.750
Br1 0.000 0.000 0.985
Br2 0.000 0.000 0.515
P1 0.500 0.500 0.250

Summary:
E = -10.9 eV for the cell shown
calculated volume = 23.18 A^3/atom
total moment = 0.00 μB per formula unit
energy above the lowest structure with this stoichiometry = 0.9967 eV/atom
calculated density = 3.90 g cm⁻³
symmetry = Cmmm
E_form (uncorrected) = 405 meV/atom

=====

AlPBr2: optimized geometry, PBE.

Lattice parameters (Å, degrees): 9.248 9.248 9.248 21.79 21.79 21.79
Element x y z (fractional)
Br1 0.022 0.022 0.022
Al1 0.750 0.750 0.750
Br2 0.478 0.478 0.478
P1 0.250 0.250 0.250

Summary:
E = -11.2 eV for the cell shown
calculated volume = 23.89 A^3/atom
total moment = 0.41 μB per formula unit
energy above the lowest structure with this stoichiometry = 0.9151 eV/atom
calculated density = 3.78 g cm⁻³
symmetry = R-3m
E_form (uncorrected) = 323 meV/atom

=====

AlP2Br: optimized geometry, PBE.

Lattice parameters (Å, degrees): 3.979 4.632 4.636 69.14 90.00 90.00
Element x y z (fractional)
Br1 0.500 0.726 0.727
Al1 0.000 0.470 0.469
P1 0.500 0.228 0.229
P2 0.000 0.075 0.076

Summary:
E = -15.7 eV for the cell shown
calculated volume = 19.97 A^3/atom
total moment = 0.00 μB per formula unit
energy above the lowest structure with this stoichiometry = 0.2684 eV/atom
calculated density = 3.51 g cm⁻³
symmetry = Amm2
E_form (uncorrected) = 122 meV/atom